A relaxed LiCdSe2O6 crystal, computed with GGA-PBE.

Results
The value obtained for the total magnetization is 0.0 Bohr magnetons per cell. As for the symmetry: C2/c (15). As for the raw total energy: -49.17 eV/f.u.

Cell: 6.701 6.701 6.461 Å, 100.64 100.64 88.95°
Atoms (fractional coordinates):
1 Li 0.208 0.792 0.750
2 Li 0.792 0.208 0.250
3 Cd 0.410 0.590 0.250
4 Cd 0.590 0.410 0.750
5 Se 0.090 0.292 0.807
6 Se 0.292 0.090 0.307
7 Se 0.708 0.910 0.693
8 Se 0.910 0.708 0.193
9 O 0.088 0.198 0.178
10 O 0.108 0.645 0.378
11 O 0.198 0.088 0.678
12 O 0.277 0.486 0.856
13 O 0.355 0.892 0.122
14 O 0.486 0.277 0.356
15 O 0.514 0.723 0.644
16 O 0.645 0.108 0.878
17 O 0.723 0.514 0.144
18 O 0.802 0.912 0.322
19 O 0.892 0.355 0.622
20 O 0.912 0.802 0.822



A relaxed Li2CdSiO4 crystal, computed with GGA-PBE.

Results
The value obtained for the total magnetization is 0.0 Bohr magnetons per cell. As for the symmetry: Pnma (62). As for the raw total energy: -47.50 eV/f.u. As for the excess energy over the best structure of this formula in the dataset: 0 meV/atom.

Cell: 10.912 6.539 5.196 Å, 90.00 90.00 90.00°
Atoms (fractional coordinates):
1 Li 0.088 0.001 0.174
2 Li 0.088 0.499 0.174
3 Li 0.412 0.501 0.674
4 Li 0.412 0.999 0.674
5 Li 0.588 0.001 0.326
6 Li 0.588 0.499 0.326
7 Li 0.912 0.501 0.826
8 Li 0.912 0.999 0.826
9 Cd 0.164 0.250 0.674
10 Cd 0.336 0.750 0.174
11 Cd 0.664 0.250 0.826
12 Cd 0.836 0.750 0.326
13 Si 0.158 0.750 0.669
14 Si 0.342 0.250 0.169
15 Si 0.658 0.750 0.831
16 Si 0.842 0.250 0.331
17 O 0.089 0.547 0.793
18 O 0.089 0.953 0.793
19 O 0.146 0.750 0.352
20 O 0.194 0.250 0.245
21 O 0.306 0.750 0.745
22 O 0.354 0.250 0.852
23 O 0.411 0.047 0.293
24 O 0.411 0.453 0.293
25 O 0.589 0.547 0.707
26 O 0.589 0.953 0.707
27 O 0.646 0.750 0.148
28 O 0.694 0.250 0.255
29 O 0.806 0.750 0.755
30 O 0.854 0.250 0.648
31 O 0.911 0.047 0.207
32 O 0.911 0.453 0.207